# 1
Entry from Alexandria: a relaxed KRb2Hg2 crystal (PBE-GGA).

The structure in POSCAR format:
```
KRb2Hg2
1.0
-6.1442 4.1090 -0.7561
-0.8103 -7.8100 0.6494
0.6028 2.6424 9.4610
K Rb Hg
2 4 4
Direct
0.1149 0.0000 0.7500
0.8851 0.0000 0.2500
0.4831 0.6975 0.8541
0.2144 0.6975 0.3541
0.5169 0.3025 0.1459
0.7856 0.3025 0.6459
0.0106 0.3154 0.0089
0.6952 0.6846 0.4911
0.9894 0.6846 0.9911
0.3048 0.3154 0.5089
```

## Properties
Calculated formation energy, meV per atom: -190
Volume, Å³ per cell: 495.7
N(E_F), states/eV/f.u.: 3.34
Distance to the lowest polymorph of the same formula, eV/f.u.: 0.01
Theoretical density, kg/m3: 4095
Magnetization, μB/f.u.: 0.0
Calculated total energy, eV for the cell shown: -9.2

# 2
Entry from Alexandria: a relaxed KRb3Hg crystal (PBE-GGA).

The structure in POSCAR format:
```
KRb3Hg
1.0
5.0735 -0.0048 0.0012
-2.5466 10.8714 -0.1342
0.0029 -0.5760 12.4344
Hg Rb K
2 6 2
Direct
0.2379 0.5085 0.6640
0.8062 0.6458 0.7576
0.7661 0.5647 0.4427
0.2780 0.5893 0.9788
0.0799 0.1934 0.4668
0.9640 0.9606 0.9548
0.4142 0.8593 0.6459
0.6299 0.2948 0.7756
0.6222 0.2773 0.1509
0.4215 0.8767 0.2707
```

## Properties
Calculated formation energy, meV per atom: -92
Volume, Å³ per cell: 685.3
N(E_F), states/eV/f.u.: 3.10
Distance to the lowest polymorph of the same formula, eV/f.u.: 0.00
Theoretical density, kg/m3: 2404
Magnetization, μB/f.u.: 0.0
Calculated total energy, eV for the cell shown: -9.5

# 3
Entry from Alexandria: a relaxed K7RbHg4 crystal (PBE-GGA).

The structure in POSCAR format:
```
K7RbHg4
1.0
-2.9822 4.5479 4.0947
-3.1539 -5.1017 9.0282
5.7025 3.2633 6.1876
K Hg Rb
7 4 1
Direct
0.0786 0.6095 0.2334
0.2153 0.1224 0.4470
0.7847 0.8776 0.5530
0.6754 0.3771 0.2721
0.3246 0.6229 0.7279
0.5000 0.0000 0.0000
0.9214 0.3905 0.7666
0.5412 0.2388 0.6788
0.4588 0.7612 0.3212
0.3240 0.3310 0.0211
0.6760 0.6690 0.9789
0.0000 0.0000 0.0000
```

## Properties
Calculated formation energy, meV per atom: -110
Volume, Å³ per cell: 581.9
N(E_F), states/eV/f.u.: 7.46
Theoretical density, kg/m3: 3315
Magnetization, μB/f.u.: 0.0
Calculated total energy, eV for the cell shown: -11.2

# 4
Entry from Alexandria: a relaxed K12Rb5Hg2 crystal (PBE-GGA).

The structure in POSCAR format:
```
K12Rb5Hg2
1.0
9.5726 -0.4869 0.3140
0.0698 11.3266 3.5002
-0.8177 -0.7678 11.8021
K Hg Rb
12 2 5
Direct
0.7977 0.9133 0.3814
0.6876 0.1487 0.6429
0.3124 0.8513 0.3571
0.2023 0.0867 0.6186
0.2843 0.4785 0.4785
0.0601 0.1041 0.1041
0.6876 0.6429 0.1487
0.2023 0.6186 0.0867
0.7977 0.3814 0.9133
0.7157 0.5215 0.5215
0.3124 0.3571 0.8513
0.9399 0.8959 0.8959
0.0000 0.3273 0.6727
0.0000 0.6727 0.3273
0.5252 0.7445 0.7445
0.4748 0.2555 0.2555
0.9508 0.3306 0.3306
0.5000 0.0000 0.0000
0.0492 0.6694 0.6694
```

## Properties
Calculated formation energy, meV per atom: -31
Volume, Å³ per cell: 1310.0
N(E_F), states/eV/f.u.: 14.40
Theoretical density, kg/m3: 1645
Magnetization, μB/f.u.: 0.0
Calculated total energy, eV for the cell shown: -19.2